# Ac6Ir4Pb

A geometry-optimized Ac6Ir4Pb structure (PBE, Alexandria).

abc: 4.388 14.522 22.362
angles: 90.00 90.00 90.00
Space group Cmcm (No. 63)
Unique sites:
Ac 0.000 0.000 0.000 (multiplicity 4)
Ac 0.000 0.163 0.250 (multiplicity 4)
Ac 0.000 0.268 0.582 (multiplicity 8)
Ac 0.000 0.465 0.151 (multiplicity 8)
Ir 0.000 0.100 0.128 (multiplicity 8)
Ir 0.000 0.364 0.041 (multiplicity 8)
Pb 0.000 0.155 0.750 (multiplicity 4)

E (eV/atom): -6.383
Density (g/cm³): 10.90